# 1
Computed, not measured: a relaxed structure of ZnPtCl2 at the GGA-PBE level of DFT.

Output
ΔE_f (raw): -0.291 eV per atom
Polymorph energy (0 for the lowest one): 118.2 meV/atom
SG: Cm (8)

POSCAR file:
```
ZnPtCl2
1.0
7.409 0.000 0.000
0.000 3.902 0.000
-0.147 0.000 6.854
Zn Pt Cl
2 2 4
Direct
0.000 0.000 0.000
0.500 0.500 0.000
0.311 0.000 0.879
0.811 0.500 0.879
0.180 0.500 0.670
0.416 0.000 0.209
0.680 0.000 0.670
0.916 0.500 0.209
```

# 2
Computed, not measured: a relaxed structure of SrTaIr2O8 at the GGA-PBE level of DFT.

Output
ΔE_f (raw): -1.263 eV per atom
SG: P-3 (147)

POSCAR file:
```
SrTaIr2O8
1.0
5.853 0.000 0.000
-2.926 5.068 0.000
0.000 0.000 6.860
Sr Ta Ir O
1 1 2 8
Direct
0.000 0.000 0.000
0.000 0.000 0.500
0.333 0.667 0.758
0.667 0.333 0.242
0.130 0.302 0.685
0.173 0.870 0.685
0.302 0.173 0.315
0.333 0.667 0.023
0.667 0.333 0.977
0.698 0.827 0.685
0.827 0.130 0.315
0.870 0.698 0.315
```

# 3
Computed, not measured: a relaxed structure of BaPrCu10 at the GGA-PBE level of DFT.

Output
Energy relative to the elements: -0.06 eV per atom
SG: Pmmm (47)

POSCAR file:
```
BaPrCu10
1.0
4.020 0.000 0.000
0.000 5.356 0.000
0.000 0.000 9.210
Ba Pr Cu
1 1 10
Direct
0.000 0.000 0.000
0.000 0.500 0.500
0.000 0.000 0.340
0.000 0.000 0.660
0.000 0.500 0.177
0.000 0.500 0.823
0.500 0.000 0.500
0.500 0.258 0.263
0.500 0.258 0.737
0.500 0.500 0.000
0.500 0.742 0.263
0.500 0.742 0.737
```

# 4
Computed, not measured: a relaxed structure of Cs2AuI at the GGA-PBE level of DFT.

Output
ΔE_f (raw): -0.911 eV per atom
Polymorph energy (0 for the lowest one): 20.3 meV/atom
SG: Fm-3m (225)

POSCAR file:
```
Cs2AuI
1.0
9.074 0.000 0.000
0.000 9.074 0.000
0.000 0.000 9.074
Cs Au I
8 4 4
Direct
0.250 0.250 0.250
0.250 0.250 0.750
0.250 0.750 0.250
0.250 0.750 0.750
0.750 0.250 0.250
0.750 0.250 0.750
0.750 0.750 0.250
0.750 0.750 0.750
0.000 0.000 0.000
0.000 0.500 0.500
0.500 0.000 0.500
0.500 0.500 0.000
0.000 0.000 0.500
0.000 0.500 0.000
0.500 0.000 0.000
0.500 0.500 0.500
```

# 5
Computed, not measured: a relaxed structure of CaOsPt4 at the GGA-PBE level of DFT.

Output
Energy relative to the elements: 0.04 eV per atom
SG: F-43m (216)

POSCAR file:
```
CaOsPt4
1.0
0.000 3.758 3.758
3.758 0.000 3.758
3.758 3.758 0.000
Ca Os Pt
1 1 4
Direct
0.000 0.000 0.000
0.750 0.750 0.750
0.375 0.375 0.375
0.375 0.375 0.874
0.375 0.874 0.375
0.874 0.375 0.375
```

# 6
Computed, not measured: a relaxed structure of NaLi2Cd at the GGA-PBE level of DFT.

Output
Energy relative to the elements: -0.07 eV per atom
SG: P4/mmm (123)

POSCAR file:
```
NaLi2Cd
1.0
4.599 0.000 0.000
0.000 4.599 0.000
0.000 0.000 4.220
Na Li Cd
1 2 1
Direct
0.000 0.000 0.000
0.000 0.500 0.500
0.500 0.000 0.500
0.500 0.500 0.000
```